1.
12
Lattice="8.922 0.000 0.000 0.000 2.674 4.794 0.000 -2.674 4.794" Properties=species:S:1:pos:R:3 comment="PuAlMo (PBE-GGA, relaxed)" ef_ev_per_fu=-0.137 dos_ef_per_ev_atom=2.48 space_group="Amm2 (38)" de_polymorph_mev_per_atom=0 dft_energy_ev_per_atom=-9.68 pbc="T T T"
Pu 1.594 0.000 0.000
Pu 2.784 0.000 6.249
Pu 6.139 0.000 6.249
Pu 7.328 0.000 0.000
Al 0.000 -1.314 7.170
Al 0.000 1.314 7.170
Al 2.237 0.000 3.148
Al 6.686 0.000 3.148
Mo 0.000 0.000 4.787
Mo 4.461 -1.393 3.892
Mo 4.461 0.000 1.494
Mo 4.461 1.393 3.892

=====

2.
4
Lattice="0.000 3.217 3.217 3.217 0.000 3.217 3.217 3.217 0.000" Properties=species:S:1:pos:R:3 comment="PuAlTcMo (PBE-GGA, relaxed)" ef_ev_per_fu=-0.289 dos_ef_per_ev_atom=1.44 space_group="F-43m (216)" dft_energy_ev_per_atom=-9.89 pbc="T T T"
Pu 0.000 0.000 0.000
Al 3.217 3.217 3.217
Tc 4.826 4.826 4.826
Mo 1.609 1.609 1.609